Record 1
A plane-wave DFT calculation with GGA-PBE was carried out for Pm3SmIr8 after structural relaxation.

abc: 5.4218 5.4218 9.3816
angles: 73.20 73.20 60.00
Positions (direct):
Ir 0.9376 0.9376 0.6871
Ir 0.9373 0.4374 0.1879
Ir 0.4377 0.9376 0.6871
Ir 0.9376 0.4377 0.6871
Sm 0.8750 0.8750 0.3750
Pm 0.9999 0.9999 0.0003
Ir 0.6875 0.6875 0.9375
Pm 0.5000 0.5000 0.4999
Ir 0.4374 0.9373 0.1879
Ir 0.1875 0.1875 0.4374
Pm 0.3751 0.3751 0.8748
Ir 0.4374 0.4374 0.1879

Output
**M_tot**: 0.00 μB/f.u.
**E**: -98.6 eV/cell
**Energy of formation**: -0.731 eV per atom
**Calculated volume**: 225.1 Å³/cell
**SG**: R3m (160)

---

Record 2
A plane-wave DFT calculation with GGA-PBE was carried out for Pm2SmIr2 after structural relaxation.

abc: 4.9405 4.9369 10.5113
angles: 90.00 90.01 90.00
Positions (direct):
Ir 0.2502 0.2500 0.0098
Pm 0.2503 0.7500 0.1661
Ir 0.7498 0.7500 0.9902
Sm 0.2496 0.7500 0.8357
Pm 0.7500 0.2500 0.4994
Ir 0.2498 0.2500 0.6598
Ir 0.7502 0.7500 0.3402
Pm 0.2500 0.7500 0.5006
Sm 0.7504 0.2500 0.1643
Pm 0.7497 0.2500 0.8339

Output
**M_tot**: 0.00 μB/f.u.
**E**: -70.0 eV/cell
**Energy relative to the lowest polymorph listed for this composition**: 0 meV/atom
**Energy of formation**: -0.616 eV per atom
**Calculated volume**: 256.4 Å³/cell
**SG**: Pmmn (59)

---

Record 3
A plane-wave DFT calculation with GGA-PBE was carried out for PmSm2Ir after structural relaxation.

abc: 3.5713 3.5713 8.9741
angles: 90.00 90.00 90.00
Positions (direct):
Pm 0.5000 0.5000 0.5000
Ir 0.5000 0.5000 0.0000
Sm 0.0000 0.0000 0.1839
Sm 0.0000 0.0000 0.8161

Output
**M_tot**: 0.00 μB/f.u.
**E**: -24.3 eV/cell
**Energy relative to the lowest polymorph listed for this composition**: 178 meV/atom
**Energy of formation**: -0.307 eV per atom
**Calculated volume**: 114.5 Å³/cell
**SG**: P4/mmm (123)

---

Record 4
A plane-wave DFT calculation with GGA-PBE was carried out for Pm3SmIr2 after structural relaxation.

abc: 6.9600 7.2094 8.5653
angles: 114.89 113.97 90.00
Positions (direct):
Pm 0.2365 0.4865 0.4730
Pm 0.5000 0.2500 0.0000
Pm 0.5000 0.7500 0.0000
Pm 0.7635 0.5135 0.5270
Ir 0.1485 0.8627 0.7253
Pm 0.2365 0.9865 0.4730
Ir 0.4232 0.6373 0.2747
Ir 0.8515 0.1373 0.2747
Pm 0.7635 0.0135 0.5270
Ir 0.5768 0.3627 0.7253
Sm 0.0000 0.0000 0.0000
Sm 0.0000 0.5000 0.0000

Output
**M_tot**: 0.00 μB/f.u.
**E**: -79.7 eV/cell
**Energy relative to the lowest polymorph listed for this composition**: 73 meV/atom
**Energy of formation**: -0.527 eV per atom
**Calculated volume**: 348.6 Å³/cell
**SG**: Ibam (72)

---

Record 5
A plane-wave DFT calculation with GGA-PBE was carried out for Pm5SmIr4 after structural relaxation.

abc: 4.8618 7.0323 7.8984
angles: 90.08 107.92 90.00
Positions (direct):
Pm 0.1662 0.5010 0.3324
Pm 0.8338 0.4990 0.6676
Ir 0.0087 0.2491 0.0173
Pm 0.8340 0.9989 0.6679
Ir 0.9913 0.7509 0.9827
Pm 0.5000 0.5000 0.0000
Ir 0.3342 0.2497 0.6685
Pm 0.1660 0.0011 0.3321
Sm 0.5000 0.0000 0.0000
Ir 0.6658 0.7503 0.3315

Output
**M_tot**: 0.00 μB/f.u.
**E**: -70.0 eV/cell
**Energy of formation**: -0.611 eV per atom
**Calculated volume**: 256.9 Å³/cell
**SG**: C2/m (12)

---

Record 6
A plane-wave DFT calculation with GGA-PBE was carried out for PmSm8Ir6 after structural relaxation.

abc: 7.8423 7.8423 7.8423
angles: 65.18 65.18 65.18
Positions (direct):
Sm 0.7782 0.4462 0.1117
Ir 0.7237 0.0575 0.3911
Ir 0.0575 0.3911 0.7237
Sm 0.4462 0.1117 0.7782
Ir 0.9425 0.6089 0.2763
Sm 0.6666 0.6666 0.6666
Sm 0.5538 0.8883 0.2218
Ir 0.3911 0.7237 0.0575
Sm 0.2218 0.5538 0.8883
Sm 0.3334 0.3334 0.3334
Ir 0.6089 0.2763 0.9425
Sm 0.8883 0.2218 0.5538
Ir 0.2763 0.9425 0.6089
Sm 0.1117 0.7782 0.4462
Pm 0.0000 0.0000 0.0000

Output
**M_tot**: 0.00 μB/f.u.
**E**: -105.4 eV/cell
**Energy of formation**: -0.650 eV per atom
**Calculated volume**: 379.6 Å³/cell
**SG**: R-3 (148)

---

Record 7
A plane-wave DFT calculation with GGA-PBE was carried out for Pm2SmIr9 after structural relaxation.

abc: 5.3587 5.3587 9.3688
angles: 73.38 73.38 60.00
Positions (direct):
Ir 0.0837 0.5797 0.7569
Ir 0.5797 0.0837 0.7569
Pm 0.1394 0.1394 0.5818
Ir 0.4203 0.9163 0.2431
Ir 0.4203 0.4203 0.2431
Ir 0.6677 0.6677 0.9968
Pm 0.8606 0.8606 0.4182
Ir 0.9163 0.4203 0.2431
Ir 0.3323 0.3323 0.0032
Sm 0.0000 0.0000 0.0000
Ir 0.5797 0.5797 0.7569
Ir 0.5000 0.5000 0.5000

Output
**M_tot**: 0.00 μB/f.u.
**E**: -100.4 eV/cell
**Energy of formation**: -0.535 eV per atom
**Calculated volume**: 219.9 Å³/cell
**SG**: R-3m (166)

---

Record 8
A plane-wave DFT calculation with GGA-PBE was carried out for Pm5Sm2Ir4 after structural relaxation.

abc: 3.7885 7.0122 12.4582
angles: 86.81 98.75 90.00
Positions (direct):
Pm 0.1335 0.8130 0.2670
Ir 0.9733 0.2978 0.9467
Pm 0.5000 0.0000 0.0000
Pm 0.2307 0.2904 0.4614
Sm 0.0852 0.3546 0.1704
Sm 0.9148 0.6454 0.8296
Pm 0.7693 0.7096 0.5386
Ir 0.3321 0.4845 0.6643
Pm 0.8665 0.1870 0.7330
Ir 0.0267 0.7022 0.0533
Ir 0.6679 0.5155 0.3357

Output
**M_tot**: 0.00 μB/f.u.
**E**: -72.3 eV/cell
**Energy of formation**: -0.330 eV per atom
**Calculated volume**: 326.6 Å³/cell
**SG**: C2/m (12)